No. 1
A plane-wave DFT calculation with PBE was carried out for a geometry-optimized Th2Al3CuPt12 structure.

Results
- total magnetic moment (μB/cell) = 0.00
- energy of formation from the pure elements (kJ/mol of formula units) = -985
- space group = R-3m (166)
- VASP energy (eV per formula unit) = -112.9

Cell: 7.870 7.870 7.870 Å, 62.26 62.26 62.26°
Fractional positions:
Th  0.626  0.626  0.626
Th  0.374  0.374  0.374
Al  0.500  0.000  0.000
Al  0.000  0.500  0.000
Al  0.000  0.000  0.500
Cu  0.000  0.000  0.000
Pt  0.375  0.375  0.876
Pt  0.870  0.870  0.375
Pt  0.375  0.870  0.870
Pt  0.876  0.375  0.375
Pt  0.870  0.375  0.870
Pt  0.375  0.876  0.375
Pt  0.625  0.625  0.124
Pt  0.130  0.130  0.625
Pt  0.625  0.130  0.130
Pt  0.124  0.625  0.625
Pt  0.130  0.625  0.130
Pt  0.625  0.124  0.625

=====

No. 2
A plane-wave DFT calculation with PBE was carried out for a geometry-optimized KLaBr structure.

Results
- total magnetic moment (μB/cell) = 0.57
- excess energy over the best structure of this formula in the dataset (meV per atom) = 0
- formation energy without anion corrections (eV per atom) = -0.785
- space group = P3m1 (156)
- VASP energy (eV per formula unit) = -10.1

Cell: 3.973 3.973 8.417 Å, 90.00 90.00 120.00°
Last column: magnetic moment on the atom in μB.
Fractional positions:
Br  0.000  0.000  0.989  0.00
K  0.667  0.333  0.283  0.01
La  0.333  0.667  0.727  0.19

=====

> What is the total magnetic moment in the second record?

0.57 μB/cell

=====

> Which formula does entry 1 have?

Th2Al3CuPt12